A plane-wave DFT calculation with GGA+U was carried out for a relaxed Li3VFe3O8 crystal.

a = 5.896 Å, b = 5.896 Å, c = 9.606 Å
α = 90.00°, β = 90.00°, γ = 120.00°
Each line ends with the local moment (μB).
Fractional positions:
Li 0.175 0.825 0.942  0.01
O 0.519 0.481 0.847  0.18
O 0.000 0.000 0.322  0.26
O 0.037 0.519 0.347  0.18
O 0.519 0.037 0.847  0.18
Li 0.175 0.350 0.942  0.01
O 0.333 0.667 0.096  0.27
O 0.481 0.963 0.347  0.18
V 0.333 0.667 0.492  1.28
O 0.833 0.167 0.092  0.11
Li 0.825 0.650 0.442  0.01
Li 0.350 0.175 0.442  0.01
Fe 0.337 0.169 0.714  4.31
Fe 0.169 0.831 0.214  4.31
O 0.833 0.666 0.092  0.11
V 0.667 0.333 0.992  1.28
Fe 0.663 0.831 0.214  4.31
Fe 0.831 0.169 0.714  4.31
Fe 0.831 0.663 0.714  4.31
O 0.000 0.000 0.822  0.26
Li 0.650 0.825 0.942  0.01
O 0.481 0.519 0.347  0.18
Fe 0.169 0.337 0.214  4.31
O 0.667 0.333 0.596  0.27
O 0.963 0.481 0.847  0.18
O 0.167 0.334 0.592  0.11
O 0.334 0.167 0.092  0.11
O 0.666 0.833 0.592  0.11
Li 0.825 0.175 0.442  0.01
O 0.167 0.833 0.592  0.11

Calculated values
ρ = 4.22 g/cm3
space group = P6_3mc, No. 186
energy = -6.379 eV per atom
Fermi-level density of states = 5.2 states/eV/f.u.
size of the total moment = 1.067 μB per atom